# Y2TlGaCo GGA-PBE relaxed
data_Y2TlGaCo
_space_group_name_H-M_alt 'P 1'
_space_group_IT_number 1
_space_group_name_Hall 'P 1'
_cell_length_a 5.144
_cell_length_b 5.144
_cell_length_c 4.597
_cell_angle_alpha 90.00
_cell_angle_beta 90.00
_cell_angle_gamma 90.00
loop_
_atom_site_label
_atom_site_type_symbol
_atom_site_fract_x
_atom_site_fract_y
_atom_site_fract_z
Y1 Y 0.000 0.500 0.000
Y2 Y 0.500 0.000 0.000
Tl1 Tl 0.000 0.000 0.500
Ga1 Ga 0.500 0.500 0.500
Co1 Co 0.500 0.500 0.000
# Raw total energy = -5.35 eV per atom
# ΔH_f (0 K) = -6.090 kcal/mol of atoms
# M_tot = 0.00 μB per cell

***

# RbZn2Hg GGA-PBE relaxed
data_RbZn2Hg
_space_group_name_H-M_alt 'P 1'
_space_group_IT_number 1
_space_group_name_Hall 'P 1'
_cell_length_a 10.383
_cell_length_b 10.383
_cell_length_c 10.383
_cell_angle_alpha 150.08
_cell_angle_beta 150.08
_cell_angle_gamma 42.82
loop_
_atom_site_label
_atom_site_type_symbol
_atom_site_fract_x
_atom_site_fract_y
_atom_site_fract_z
Rb1 Rb 0.375 0.625 0.750
Rb2 Rb 0.625 0.375 0.250
Zn1 Zn 0.000 0.000 0.000
Zn2 Zn 0.000 0.000 0.500
Zn3 Zn 0.000 0.500 0.000
Zn4 Zn 0.500 0.000 0.500
Hg1 Hg 0.125 0.875 0.250
Hg2 Hg 0.875 0.125 0.750
# Raw total energy = -0.89 eV per atom
# ΔH_f (0 K) = 1.560 kcal/mol of atoms
# M_tot = 0.00 μB per cell

***

# CeDyAs GGA-PBE relaxed
data_CeDyAs
_space_group_name_H-M_alt 'P 1'
_space_group_IT_number 1
_space_group_name_Hall 'P 1'
_cell_length_a 3.966
_cell_length_b 3.966
_cell_length_c 6.610
_cell_angle_alpha 90.00
_cell_angle_beta 90.00
_cell_angle_gamma 120.00
loop_
_atom_site_label
_atom_site_type_symbol
_atom_site_fract_x
_atom_site_fract_y
_atom_site_fract_z
Ce1 Ce 0.000 0.000 0.000
Dy1 Dy 0.667 0.333 0.531
As1 As 0.333 0.667 0.271
# Raw total energy = -5.82 eV per atom
# ΔH_f (0 K) = -17.507 kcal/mol of atoms
# M_tot = 2.10 μB per cell

***

# YAl2Ni GGA-PBE relaxed
data_YAl2Ni
_space_group_name_H-M_alt 'P 1'
_space_group_IT_number 1
_space_group_name_Hall 'P 1'
_cell_length_a 4.612
_cell_length_b 4.612
_cell_length_c 4.612
_cell_angle_alpha 60.00
_cell_angle_beta 60.00
_cell_angle_gamma 60.00
loop_
_atom_site_label
_atom_site_type_symbol
_atom_site_fract_x
_atom_site_fract_y
_atom_site_fract_z
Y1 Y 0.000 0.000 0.000
Al1 Al 0.250 0.250 0.250
Al2 Al 0.750 0.750 0.750
Ni1 Ni 0.500 0.500 0.500
# Raw total energy = -5.17 eV per atom
# ΔH_f (0 K) = -5.389 kcal/mol of atoms
# M_tot = 0.00 μB per cell

***

# CaMg2 GGA-PBE relaxed
data_CaMg2
_space_group_name_H-M_alt 'P 1'
_space_group_IT_number 1
_space_group_name_Hall 'P 1'
_cell_length_a 6.216
_cell_length_b 6.216
_cell_length_c 20.294
_cell_angle_alpha 90.00
_cell_angle_beta 90.00
_cell_angle_gamma 120.00
loop_
_atom_site_label
_atom_site_type_symbol
_atom_site_fract_x
_atom_site_fract_y
_atom_site_fract_z
Ca1 Ca 0.000 0.000 0.094
Ca2 Ca 0.000 0.000 0.406
Ca3 Ca 0.000 0.000 0.594
Ca4 Ca 0.000 0.000 0.906
Ca5 Ca 0.333 0.667 0.156
Ca6 Ca 0.333 0.667 0.344
Ca7 Ca 0.667 0.333 0.656
Ca8 Ca 0.667 0.333 0.844
Mg1 Mg 0.000 0.500 0.000
Mg2 Mg 0.000 0.500 0.500
Mg3 Mg 0.165 0.330 0.750
Mg4 Mg 0.165 0.835 0.750
Mg5 Mg 0.330 0.165 0.250
Mg6 Mg 0.333 0.667 0.626
Mg7 Mg 0.333 0.667 0.874
Mg8 Mg 0.500 0.000 0.000
Mg9 Mg 0.500 0.000 0.500
Mg10 Mg 0.500 0.500 0.000
Mg11 Mg 0.500 0.500 0.500
Mg12 Mg 0.667 0.333 0.126
Mg13 Mg 0.667 0.333 0.374
Mg14 Mg 0.670 0.835 0.750
Mg15 Mg 0.835 0.165 0.250
Mg16 Mg 0.835 0.670 0.250
# Raw total energy = -1.84 eV per atom
# ΔH_f (0 K) = -2.577 kcal/mol of atoms
# M_tot = 0.00 μB per cell

***

# Li3H4Pd7 GGA-PBE relaxed
data_Li3H4Pd7
_space_group_name_H-M_alt 'P 1'
_space_group_IT_number 1
_space_group_name_Hall 'P 1'
_cell_length_a 6.820
_cell_length_b 6.820
_cell_length_c 6.773
_cell_angle_alpha 117.68
_cell_angle_beta 117.68
_cell_angle_gamma 35.32
loop_
_atom_site_label
_atom_site_type_symbol
_atom_site_fract_x
_atom_site_fract_y
_atom_site_fract_z
Li1 Li 0.000 0.000 0.000
Li2 Li 0.355 0.355 0.340
Li3 Li 0.645 0.645 0.660
H1 H 0.122 0.122 0.785
H2 H 0.331 0.331 0.658
H3 H 0.669 0.669 0.342
H4 H 0.878 0.878 0.215
Pd1 Pd 0.000 0.000 0.500
Pd2 Pd 0.177 0.177 0.385
Pd3 Pd 0.273 0.273 0.876
Pd4 Pd 0.490 0.490 0.784
Pd5 Pd 0.510 0.510 0.216
Pd6 Pd 0.727 0.727 0.124
Pd7 Pd 0.823 0.823 0.615
# Raw total energy = -4.16 eV per atom
# M_tot = 0.00 μB per cell

***

# DyThSn GGA-PBE relaxed
data_DyThSn
_space_group_name_H-M_alt 'P 1'
_space_group_IT_number 1
_space_group_name_Hall 'P 1'
_cell_length_a 9.299
_cell_length_b 9.299
_cell_length_c 9.299
_cell_angle_alpha 151.67
_cell_angle_beta 151.67
_cell_angle_gamma 40.49
loop_
_atom_site_label
_atom_site_type_symbol
_atom_site_fract_x
_atom_site_fract_y
_atom_site_fract_z
Dy1 Dy 0.175 0.175 0.000
Dy2 Dy 0.825 0.825 0.000
Th1 Th 0.000 0.500 0.500
Th2 Th 0.500 0.000 0.500
Sn1 Sn 0.356 0.356 0.000
Sn2 Sn 0.644 0.644 0.000
# Raw total energy = -5.85 eV per atom
# ΔH_f (0 K) = -11.722 kcal/mol of atoms
# M_tot = 0.00 μB per cell

***

# FeC8 GGA-PBE relaxed
data_FeC8
_space_group_name_H-M_alt 'P 1'
_space_group_IT_number 1
_space_group_name_Hall 'P 1'
_cell_length_a 4.841
_cell_length_b 4.841
_cell_length_c 4.841
_cell_angle_alpha 112.01
_cell_angle_beta 112.01
_cell_angle_gamma 104.50
loop_
_atom_site_label
_atom_site_type_symbol
_atom_site_fract_x
_atom_site_fract_y
_atom_site_fract_z
Fe1 Fe 0.000 0.000 0.000
C1 C 0.000 0.368 0.368
C2 C 0.000 0.632 0.632
C3 C 0.249 0.249 0.499
C4 C 0.249 0.751 0.000
C5 C 0.368 0.000 0.368
C6 C 0.632 0.000 0.632
C7 C 0.751 0.249 0.000
C8 C 0.751 0.751 0.501
# Raw total energy = -7.41 eV per atom
# ΔH_f (0 K) = 39.937 kcal/mol of atoms
# M_tot = 3.04 μB per cell

***

# Cd5SnPt6 GGA-PBE relaxed
data_Cd5SnPt6
_space_group_name_H-M_alt 'P 1'
_space_group_IT_number 1
_space_group_name_Hall 'P 1'
_cell_length_a 7.780
_cell_length_b 7.780
_cell_length_c 4.929
_cell_angle_alpha 94.31
_cell_angle_beta 94.31
_cell_angle_gamma 45.43
loop_
_atom_site_label
_atom_site_type_symbol
_atom_site_fract_x
_atom_site_fract_y
_atom_site_fract_z
Cd1 Cd 0.000 0.000 0.000
Cd2 Cd 0.166 0.166 0.663
Cd3 Cd 0.327 0.327 0.339
Cd4 Cd 0.673 0.673 0.661
Cd5 Cd 0.834 0.834 0.337
Sn1 Sn 0.500 0.500 0.000
Pt1 Pt 0.090 0.583 0.842
Pt2 Pt 0.256 0.744 0.500
Pt3 Pt 0.417 0.910 0.158
Pt4 Pt 0.583 0.090 0.842
Pt5 Pt 0.744 0.256 0.500
Pt6 Pt 0.910 0.417 0.158
# Raw total energy = -4.07 eV per atom
# ΔH_f (0 K) = -7.773 kcal/mol of atoms
# M_tot = 0.00 μB per cell

***

# PrHoAu2 GGA-PBE relaxed
data_PrHoAu2
_space_group_name_H-M_alt 'P 1'
_space_group_IT_number 1
_space_group_name_Hall 'P 1'
_cell_length_a 5.192
_cell_length_b 5.192
_cell_length_c 5.192
_cell_angle_alpha 60.00
_cell_angle_beta 60.00
_cell_angle_gamma 60.00
loop_
_atom_site_label
_atom_site_type_symbol
_atom_site_fract_x
_atom_site_fract_y
_atom_site_fract_z
Pr1 Pr 0.000 0.000 0.000
Ho1 Ho 0.500 0.500 0.500
Au1 Au 0.250 0.250 0.250
Au2 Au 0.750 0.750 0.750
# Raw total energy = -4.76 eV per atom
# ΔH_f (0 K) = -18.086 kcal/mol of atoms
# M_tot = 0.00 μB per cell

***

# Ga2TePd2 GGA-PBE relaxed
data_Ga2TePd2
_space_group_name_H-M_alt 'P 1'
_space_group_IT_number 1
_space_group_name_Hall 'P 1'
_cell_length_a 6.040
_cell_length_b 6.040
_cell_length_c 6.040
_cell_angle_alpha 138.49
_cell_angle_beta 138.49
_cell_angle_gamma 60.16
loop_
_atom_site_label
_atom_site_type_symbol
_atom_site_fract_x
_atom_site_fract_y
_atom_site_fract_z
Ga1 Ga 0.116 0.116 0.000
Ga2 Ga 0.884 0.884 0.000
Te1 Te 0.500 0.500 0.000
Pd1 Pd 0.250 0.750 0.500
Pd2 Pd 0.750 0.250 0.500
# Raw total energy = -4.17 eV per atom
# Formation energy from raw total energies = -0.2493 eV per atom
# M_tot = 0.00 μB per cell

***

# PrHo3Te2 GGA-PBE relaxed
data_PrHo3Te2
_space_group_name_H-M_alt 'P 1'
_space_group_IT_number 1
_space_group_name_Hall 'P 1'
_cell_length_a 8.536
_cell_length_b 8.536
_cell_length_c 11.375
_cell_angle_alpha 108.71
_cell_angle_beta 108.71
_cell_angle_gamma 28.14
loop_
_atom_site_label
_atom_site_type_symbol
_atom_site_fract_x
_atom_site_fract_y
_atom_site_fract_z
Pr1 Pr 0.120 0.120 0.043
Pr2 Pr 0.880 0.880 0.957
Ho1 Ho 0.061 0.061 0.405
Ho2 Ho 0.283 0.283 0.621
Ho3 Ho 0.377 0.377 0.335
Ho4 Ho 0.623 0.623 0.665
Ho5 Ho 0.717 0.717 0.379
Ho6 Ho 0.939 0.939 0.595
Te1 Te 0.228 0.228 0.853
Te2 Te 0.483 0.483 0.825
Te3 Te 0.517 0.517 0.175
Te4 Te 0.772 0.772 0.147
# Raw total energy = -4.99 eV per atom
# Formation energy from raw total energies = -0.8553 eV per atom
# M_tot = 0.00 μB per cell